Here is a relaxed structure of Li2CaTl8 from the Alexandria database. Energies are from PBE-GGA.

Properties
D(E_F) in states/eV per atom: 0.405
Excess energy over the best structure of this formula in the dataset in eV/f.u.: 0.00
Magnetization in μB/f.u.: 0.00

Lattice parameters (Å, degrees): 8.9063 8.9063 7.7610 109.08 109.08 31.04
Fractional coordinates of all 11 atoms:
1 Li 0.2267 0.2267 0.1535
2 Li 0.7733 0.7733 0.8465
3 Ca 0.5000 0.5000 0.5000
4 Tl 0.0453 0.0453 0.2286
5 Tl 0.1519 0.1519 0.7221
6 Tl 0.3168 0.3168 0.5693
7 Tl 0.3919 0.3919 0.0140
8 Tl 0.6081 0.6081 0.9860
9 Tl 0.6832 0.6832 0.4307
10 Tl 0.8481 0.8481 0.2779
11 Tl 0.9547 0.9547 0.7714